(1)
Li2ReSb: relaxed, GGA-PBE.

a b c (Å): 5.468 5.468 4.417
angles (deg): 66.74 66.74 33.18
Positions (direct):
Li  0.497  0.497  0.504
Li  0.003  0.003  0.996
Sb  0.250  0.250  0.250
Re  0.750  0.750  0.750

Size of the total moment, μB/f.u.: 0.00
Space-group type: C2/m
Energy relative to the elements, uncorrected, eV per atom: 0.204
Density of states at the Fermi level, states/eV/f.u.: 1.7

(2)
Li2ReSb: relaxed, GGA-PBE.

a b c (Å): 2.779 2.779 9.079
angles (deg): 90.00 90.00 98.54
Positions (direct):
Li  0.000  0.000  0.482
Li  0.000  0.000  0.018
Sb  0.500  0.500  0.750
Re  0.500  0.500  0.250

Size of the total moment, μB/f.u.: 0.00
Space-group type: Cmmm
Energy relative to the elements, uncorrected, eV per atom: 0.292
Density of states at the Fermi level, states/eV/f.u.: 1.9

(3)
Li2ReSb: relaxed, GGA-PBE.

a b c (Å): 2.975 2.975 9.255
angles (deg): 90.00 90.00 112.82
Positions (direct):
Re  0.000  0.000  0.502
Sb  0.500  0.500  0.732
Li  0.000  0.000  0.996
Li  0.500  0.500  0.270

Size of the total moment, μB/f.u.: 0.00
Space-group type: Cmm2
Energy relative to the elements, uncorrected, eV per atom: 0.436
Density of states at the Fermi level, states/eV/f.u.: 2.9

(4)
Li2ReSb: relaxed, GGA-PBE.

a b c (Å): 5.192 5.192 5.192
angles (deg): 136.19 136.19 63.68
Each line ends with the local moment (μB).
Positions (direct):
Li  0.500  0.500  0.000  0.00
Li  0.000  0.000  0.000  0.00
Sb  0.750  0.250  0.500  0.00
Re  0.250  0.750  0.500  0.85

Size of the total moment, μB/f.u.: 1.00
Space-group type: I4/mmm
Energy relative to the elements, uncorrected, eV per atom: 0.325
Density of states at the Fermi level, states/eV/f.u.: 3.0

(5)
Li2ReSb: relaxed, GGA-PBE.

a b c (Å): 4.895 4.895 4.895
angles (deg): 134.08 134.09 66.95
Positions (direct):
Li  0.750  0.250  0.500
Re  0.500  0.500  0.000
Sb  0.250  0.750  0.500
Li  0.000  0.000  0.000

Size of the total moment, μB/f.u.: 0.00
Space-group type: I-4m2
Energy relative to the elements, uncorrected, eV per atom: 0.085
Density of states at the Fermi level, states/eV/f.u.: 0.4

(6)
Li4ReSb: relaxed, GGA-PBE.

a b c (Å): 4.923 4.923 4.923
angles (deg): 60.00 60.00 60.00
Each line ends with the local moment (μB).
Positions (direct):
Li  0.377  0.377  0.377  0.02
Re  0.750  0.750  0.750  0.85
Li  0.868  0.377  0.377  0.02
Li  0.377  0.377  0.868  0.02
Li  0.377  0.868  0.377  0.02
Sb  0.000  0.000  0.000  0.00

Size of the total moment, μB/f.u.: 1.27
Space-group type: F-43m
Energy relative to the elements, uncorrected, eV per atom: 0.291
Density of states at the Fermi level, states/eV/f.u.: 3.8